Entry 1:
Compound: LaAsS
Source: Alexandria via LeMat-Bulk
Functional: GGA-PBE
Structure: optimized geometry

Results
Raw total energy (eV/atom): -6.24
Raw formation energy (meV/atom): -1670
Size of the total moment (μB per atom): 0.00

Unit cell a=17.776 b=3.982 c=4.076 alpha=90.00 beta=90.00 gamma=90.00
Space group Pnma (No. 62)
Asymmetric unit:
La 0.147 0.250 0.234
As 0.002 0.250 0.701
S 0.185 0.750 0.736

Entry 2:
Compound: La2AsS5
Source: Alexandria via LeMat-Bulk
Functional: GGA-PBE
Structure: optimized geometry

Results
Raw total energy (eV/atom): -5.60
Raw formation energy (meV/atom): -1204
Size of the total moment (μB per atom): 0.00

Unit cell a=7.970 b=8.622 c=6.293 alpha=90.00 beta=119.01 gamma=90.00
Space group Cm (No. 8)
Asymmetric unit:
La 0.000 0.239 0.000
As 0.450 0.000 0.405
S 0.159 0.000 0.395
S 0.181 0.500 0.862
S 0.237 0.000 0.929
S 0.379 0.286 0.399

Entry 3:
Compound: LaAsS3
Source: Alexandria via LeMat-Bulk
Functional: GGA-PBE
Structure: optimized geometry

Results
Raw total energy (eV/atom): -5.54
Raw formation energy (meV/atom): -1150
Size of the total moment (μB per atom): 0.00
Distance to the lowest polymorph of the same formula (eV per atom): 0.000

Unit cell a=7.488 b=6.664 c=9.600 alpha=90.00 beta=90.00 gamma=90.00
Space group Pna2_1 (No. 33)
Asymmetric unit:
La 0.108 0.039 0.000
As 0.037 0.535 0.217
S 0.037 0.359 0.495
S 0.172 0.820 0.302
S 0.201 0.845 0.683

Entry 4:
Compound: LaAs2S
Source: Alexandria via LeMat-Bulk
Functional: GGA-PBE
Structure: optimized geometry

Results
Raw total energy (eV/atom): -5.44
Raw formation energy (meV/atom): -847
Size of the total moment (μB per atom): 0.00

Unit cell a=4.002 b=4.002 c=24.612 alpha=90.00 beta=90.00 gamma=90.00
Space group I-42d (No. 122)
Asymmetric unit:
La 0.000 0.000 0.000
As 0.206 0.250 0.625
S 0.000 0.000 0.500

What is the formula in the third record? LaAsS3